[1]
Material: ZnHgAu
Method: DFT, PBEsol
State: optimized geometry

extended XYZ file:
```
3
Lattice="-2.575 0.905 -1.265 -1.141 -2.762 0.347 -0.166 2.416 5.644" Properties=species:S:1:pos:R:3 pbc="T T T"
Hg -2.559 -0.413 1.338
Zn -1.389 1.021 3.558
Au -3.816 0.510 4.556
```

Computed properties:
- Total moment: 0.00 Bohr magnetons per cell
- Volume: 17.381 Å³ per atom
- Symmetry: I4mm
- Calculated formation energy: -18 meV per atom
- Energy above the lowest structure with this stoichiometry: 0.015 eV per atom


[2]
Material: ScCo2Re
Method: DFT, PBEsol
State: optimized geometry

extended XYZ file:
```
4
Lattice="2.719 0.000 -0.187 0.000 4.153 0.000 -1.053 0.000 4.713" Properties=species:S:1:pos:R:3 pbc="T T T"
Co 2.303 2.076 1.225
Re 0.982 0.000 1.889
Sc -0.259 2.076 3.847
Co 1.141 0.000 4.351
```

Computed properties:
- Total moment: 0.00 Bohr magnetons per cell
- Volume: 13.098 Å³ per atom
- Symmetry: Pm
- Calculated formation energy: -102 meV per atom
- Energy above the lowest structure with this stoichiometry: 0.000 eV per atom


[3]
Material: ReAsSeBr2
Method: DFT, PBEsol
State: optimized geometry

extended XYZ file:
```
5
Lattice="4.866 0.000 0.000 0.000 4.872 0.000 0.000 0.000 4.872" Properties=species:S:1:pos:R:3 pbc="T T T"
As 2.433 0.000 0.000
Br 0.000 0.000 2.436
Re 0.000 0.000 0.000
Br 0.000 2.436 0.000
Se 2.433 2.436 2.436
```

Computed properties:
- Total moment: 0.00 Bohr magnetons per cell
- Volume: 23.100 Å³ per atom
- Symmetry: P4/mmm
- Energy relative to the elements, uncorrected: 3.52 eV/f.u.


[4]
Material: TlAgSbI2
Method: DFT, PBEsol
State: optimized geometry

extended XYZ file:
```
5
Lattice="-0.352 -0.412 5.658 0.639 -5.952 -0.394 5.954 0.611 0.414" Properties=species:S:1:pos:R:3 pbc="T T T"
Ag 3.120 -2.876 2.839
Tl 0.000 0.000 0.000
Sb -0.176 -0.206 2.829
I 0.319 -2.976 -0.197
I 2.977 0.306 0.207
```

Computed properties:
- Total moment: 1.58 Bohr magnetons per cell
- Volume: 40.912 Å³ per atom
- Symmetry: P4/mmm
- Energy relative to the elements, uncorrected: 3.32 eV/f.u.


[5]
Material: InN2Cl
Method: DFT, PBEsol
State: optimized geometry

extended XYZ file:
```
4
Lattice="-1.223 -3.511 -1.778 -1.548 -3.046 2.304 -4.014 -0.912 -0.217" Properties=species:S:1:pos:R:3 pbc="T T T"
Cl 0.000 0.000 0.000
In -3.392 -3.735 0.155
N -5.088 -5.602 0.232
N -1.696 -1.867 0.077
```

Computed properties:
- Total moment: 1.01 Bohr magnetons per cell
- Volume: 12.376 Å³ per atom
- Symmetry: Fm-3m
- Energy relative to the elements, uncorrected: 7.39 eV/f.u.


[6]
Material: Mg2SnH
Method: DFT, PBEsol
State: optimized geometry

extended XYZ file:
```
8
Lattice="-4.986 -0.927 -1.710 0.239 -4.961 1.993 0.410 4.755 4.601" Properties=species:S:1:pos:R:3 pbc="T T T"
Mg -2.698 0.701 3.300
H -2.373 -2.944 0.142
Sn 0.000 0.000 0.000
Mg -2.378 -3.653 1.972
Mg -3.351 -1.331 0.683
H -3.475 0.442 1.517
Mg -0.246 2.015 3.814
Sn -0.862 -1.575 3.368
```

Computed properties:
- Total moment: 0.00 Bohr magnetons per cell
- E_tot: -2.69 eV per atom
- Volume: 19.489 Å³ per atom
- Symmetry: I-42d


[7]
Material: SiMoP3O11
Method: DFT, PBEsol
State: optimized geometry

extended XYZ file:
```
64
Lattice="-5.528 -1.714 6.177 -7.691 -2.977 -1.909 0.249 -14.042 2.127" Properties=species:S:1:pos:R:3 pbc="T T T"
P -10.814 -5.937 2.019
P -6.637 -7.249 6.006
Mo -1.970 -8.094 1.791
P -7.946 -11.811 5.268
O -7.631 -15.781 5.922
O -9.007 -11.229 4.370
O -7.937 -11.400 6.708
O -2.778 -4.412 3.335
O -3.421 -13.598 4.339
Si -0.306 -12.555 2.043
O -5.034 -7.334 -0.313
O -4.289 -2.410 3.147
Mo -11.000 -10.639 4.604
O -6.886 -4.136 2.161
P -6.026 -4.212 0.937
O -4.621 -14.187 1.825
O -8.349 -4.546 4.569
O -10.192 -14.321 3.060
O -7.365 -8.532 6.317
O -11.290 -6.293 3.489
O -10.914 -14.418 6.122
O -6.135 -13.891 6.666
O -8.077 -13.411 5.206
O -6.085 -14.597 4.233
P -9.769 -8.634 2.161
O -3.963 -7.505 2.025
Si -7.040 -7.879 3.113
O -4.894 -5.322 1.189
P -5.024 -6.922 1.127
P -6.944 -14.522 5.457
P -3.201 -10.099 4.234
Si -12.664 -6.178 4.352
O -2.623 -1.921 0.795
O -2.056 -4.315 0.273
O -9.095 -9.471 1.104
O -2.180 -9.441 3.358
O -6.485 -9.367 3.197
O -6.835 -4.843 -0.271
O -6.521 -11.578 4.614
O -5.340 -2.953 0.473
O -9.549 -5.136 2.056
O -6.082 -4.228 5.656
Mo -4.266 -15.315 3.533
O -1.680 -12.441 2.906
O -8.681 -16.323 3.248
O -5.287 -7.038 6.618
O -5.605 -10.202 0.078
P -7.623 -4.528 5.879
P -6.333 -11.484 0.389
O -10.347 -16.812 5.600
O -4.305 -10.822 3.355
P -2.156 -12.797 4.376
O -6.888 -14.506 0.738
Si -5.930 -10.854 3.281
O -6.572 -7.052 4.434
O -8.665 -7.912 3.040
O -6.449 -7.156 1.781
O -3.875 -9.262 5.291
P -5.347 -14.205 0.516
O 0.000 0.000 0.000
O -10.790 -9.293 3.037
O -7.683 -11.696 -0.223
Mo -8.704 -3.419 2.862
O -6.398 -11.682 1.960
```

Computed properties:
- Total moment: 12.00 Bohr magnetons per cell
- Volume: 12.933 Å³ per atom
- Symmetry: R-3c
- Energy relative to the elements, uncorrected: -34.60 eV/f.u.


[8]
Material: RbCd2OsC
Method: DFT, PBEsol
State: optimized geometry

extended XYZ file:
```
5
Lattice="4.431 0.000 0.000 0.000 4.431 0.000 0.000 0.000 5.421" Properties=species:S:1:pos:R:3 pbc="T T T"
Os 2.215 2.215 2.710
Rb 0.000 0.000 2.710
Cd 0.000 2.215 0.000
Cd 2.215 0.000 0.000
C 0.000 0.000 0.000
```

Computed properties:
- Total moment: 2.76 Bohr magnetons per cell
- Volume: 21.284 Å³ per atom
- Symmetry: P4/mmm
- Calculated formation energy: 1935 meV per atom


[9]
Material: Al2CdTe2
Method: DFT, PBEsol
State: optimized geometry

extended XYZ file:
```
5
Lattice="-0.079 -4.708 1.609 2.222 1.406 4.225 -6.419 2.595 -0.418" Properties=species:S:1:pos:R:3 pbc="T T T"
Al -1.563 1.175 3.362
Te -0.515 -1.371 3.658
Cd 0.000 0.000 0.000
Al -2.714 -1.882 2.054
Te -3.762 0.664 1.758
```

Computed properties:
- Total moment: 0.00 Bohr magnetons per cell
- Volume: 29.607 Å³ per atom
- Symmetry: I4/mmm
- Energy relative to the elements, uncorrected: 0.62 eV/f.u.


[10]
Material: TaBeFe6
Method: DFT, PBEsol
State: optimized geometry

extended XYZ file:
```
32
Lattice="5.866 0.000 0.000 -2.933 5.557 0.000 0.000 0.000 10.944" Properties=species:S:1:pos:R:3 pbc="T T T"
Fe 0.000 0.000 5.472
Fe 1.552 1.359 6.930
Fe 2.933 2.764 8.321
Ta 0.000 2.703 5.472
Fe 2.933 0.000 5.472
Fe 4.340 1.447 1.257
Fe 1.552 1.359 4.014
Be 2.933 2.853 0.000
Be 2.933 0.000 8.362
Fe 0.000 2.793 8.321
Fe 4.314 1.359 6.930
Be 0.000 2.704 0.000
Fe 0.000 2.793 2.623
Ta 2.933 2.854 5.472
Fe 4.314 1.359 4.014
Fe 2.933 0.000 0.000
Fe 2.933 2.764 2.623
Fe -1.381 4.198 4.014
Fe 1.526 1.447 9.688
Fe 4.340 1.447 9.688
Fe -1.407 4.110 1.257
Be 2.933 0.000 2.583
Fe 1.381 4.198 6.930
Fe 1.407 4.110 1.257
Fe -1.407 4.110 9.688
Fe -1.381 4.198 6.930
Fe 1.381 4.198 4.014
Ta 0.000 0.000 2.666
Ta 0.000 0.000 8.278
Fe 1.526 1.447 1.257
Fe 0.000 0.000 0.000
Fe 1.407 4.110 9.688
```

Computed properties:
- Total moment: 41.06 Bohr magnetons per cell
- Volume: 11.149 Å³ per atom
- Symmetry: Cmmm
- Calculated formation energy: -24 meV per atom


[11]
Material: Ta8Co
Method: DFT, PBEsol
State: optimized geometry

extended XYZ file:
```
9
Lattice="-0.172 -3.179 0.870 0.335 -3.391 -6.070 6.655 -1.817 0.934" Properties=species:S:1:pos:R:3 pbc="T T T"
Ta 2.424 -2.871 -3.755
Ta 0.050 -2.172 -1.669
Ta 4.389 -3.333 1.207
Ta 2.196 -3.850 -1.116
Ta 4.622 -4.537 -3.151
Ta 0.113 -4.398 -3.531
Co 0.000 0.000 0.000
Ta 4.566 -2.337 -1.381
Ta 2.094 -1.663 0.596
```

Computed properties:
- Total moment: 0.00 Bohr magnetons per cell
- Volume: 16.770 Å³ per atom
- Symmetry: I4/mmm
- Calculated formation energy: -28 meV per atom


[12]
Material: ZrTa3
Method: DFT, PBEsol
State: optimized geometry

extended XYZ file:
```
4
Lattice="-2.061 3.151 -2.834 -3.227 -1.405 -3.133 -4.534 1.120 0.625" Properties=species:S:1:pos:R:3 pbc="T T T"
Ta -2.455 0.717 -1.335
Ta -4.911 1.433 -2.671
Zr 0.000 0.000 0.000
Ta -7.366 2.150 -4.006
```

Computed properties:
- Total moment: 0.00 Bohr magnetons per cell
- Volume: 18.495 Å³ per atom
- Symmetry: Fm-3m
- Calculated formation energy: 105 meV per atom
- Energy above the lowest structure with this stoichiometry: 0.028 eV per atom


[13]
Material: Pb3AuSe
Method: DFT, PBEsol
State: optimized geometry

extended XYZ file:
```
5
Lattice="-1.864 -5.012 -1.455 1.713 0.871 -5.198 4.930 -2.198 1.256" Properties=species:S:1:pos:R:3 pbc="T T T"
Pb 0.857 0.436 -2.599
Pb 2.465 -1.099 0.628
Pb -0.932 -2.506 -0.727
Se 0.000 0.000 0.000
Au 2.390 -3.169 -2.698
```

Computed properties:
- Total moment: 0.00 Bohr magnetons per cell
- Volume: 34.043 Å³ per atom
- Symmetry: Pm-3m
- Energy relative to the elements, uncorrected: 2.65 eV/f.u.


[14]
Material: TcBi3Os
Method: DFT, PBEsol
State: optimized geometry

extended XYZ file:
```
5
Lattice="5.200 0.000 0.000 0.000 5.200 0.000 0.000 0.000 5.200" Properties=species:S:1:pos:R:3 pbc="T T T"
Tc 2.600 2.600 2.600
Bi 2.600 0.000 0.000
Os 0.000 0.000 0.000
Bi 0.000 2.600 0.000
Bi 0.000 0.000 2.600
```

Computed properties:
- Total moment: 2.65 Bohr magnetons per cell
- Volume: 28.126 Å³ per atom
- Symmetry: Pm-3m
- Calculated formation energy: 1556 meV per atom


[15]
Material: Ba4LiB3N6
Method: DFT, PBEsol
State: optimized geometry

extended XYZ file:
```
14
Lattice="6.770 0.000 0.000 -2.257 6.383 0.000 -2.257 -3.192 5.528" Properties=species:S:1:pos:R:3 pbc="T T T"
Ba -1.128 -1.596 2.764
N -1.474 1.042 1.805
N -3.040 2.149 3.723
Ba -1.128 3.192 0.000
B 2.257 3.192 0.000
N 1.474 -1.042 1.805
N 1.474 2.085 0.000
N 3.040 -2.149 3.723
B -2.257 1.596 2.764
N 3.040 4.299 0.000
Ba 1.128 1.596 2.764
B 2.257 -1.596 2.764
Li 0.000 0.000 0.000
Ba 3.385 0.000 0.000
```

Computed properties:
- Total moment: 0.00 Bohr magnetons per cell
- Volume: 17.063 Å³ per atom
- Symmetry: Im-3m
- Energy relative to the elements, uncorrected: -14.53 eV/f.u.


[16]
Material: Li2NiSnO4
Method: DFT, PBEsol
State: optimized geometry

extended XYZ file:
```
8
Lattice="-2.977 0.793 2.817 -1.677 -3.756 -0.715 4.825 -0.228 2.069" Properties=species:S:1:pos:R:3 pbc="T T T"
Li -2.327 -1.482 1.051
O 1.195 -0.817 1.492
O 1.576 -3.530 2.658
Ni 0.000 0.000 0.000
Sn 0.411 -2.733 1.203
O -1.023 -2.374 2.679
O -0.754 -1.935 -0.253
Li -0.240 -0.458 2.969
```

Computed properties:
- Total moment: 1.73 Bohr magnetons per cell
- Volume: 9.471 Å³ per atom
- Symmetry: I-4m2
- Energy relative to the elements, uncorrected: -12.32 eV/f.u.
- Energy above the lowest structure with this stoichiometry: 0.016 eV per atom


[17]
Material: InPt2Au
Method: DFT, PBEsol
State: optimized geometry

extended XYZ file:
```
4
Lattice="-1.164 2.360 1.412 -3.401 -2.804 1.882 3.639 -0.069 3.118" Properties=species:S:1:pos:R:3 pbc="T T T"
In -0.463 -0.257 3.206
Pt 1.820 -0.035 1.559
Au -0.582 1.180 0.706
Pt -1.700 -1.402 0.941
```

Computed properties:
- Total moment: 0.00 Bohr magnetons per cell
- Volume: 16.487 Å³ per atom
- Symmetry: Cmmm
- Calculated formation energy: -255 meV per atom


[18]
Material: MnAlP
Method: DFT, PBEsol
State: optimized geometry

extended XYZ file:
```
3
Lattice="-2.456 -1.911 0.537 -0.353 -0.580 -3.675 2.188 -2.237 2.043" Properties=species:S:1:pos:R:3 pbc="T T T"
Mn 0.113 -2.640 0.406
Al 0.000 0.000 0.000
P -0.734 -2.088 -1.501
```

Computed properties:
- Total moment: 0.00 Bohr magnetons per cell
- Volume: 12.733 Å³ per atom
- Symmetry: P-6m2
- Calculated formation energy: -270 meV per atom


[19]
Material: CrCu2Ag
Method: DFT, PBEsol
State: optimized geometry

extended XYZ file:
```
4
Lattice="3.880 0.000 0.000 0.000 3.618 0.000 0.000 0.000 3.884" Properties=species:S:1:pos:R:3 pbc="T T T"
Cu 0.000 0.000 0.000
Cu 1.940 0.000 1.942
Cr 0.000 1.809 1.942
Ag 1.940 1.809 0.000
```

Computed properties:
- Total moment: 4.31 Bohr magnetons per cell
- Volume: 13.630 Å³ per atom
- Symmetry: P4/mmm
- Calculated formation energy: 355 meV per atom
- Energy above the lowest structure with this stoichiometry: 0.022 eV per atom


[20]
Material: CoReCl2
Method: DFT, PBEsol
State: optimized geometry

extended XYZ file:
```
4
Lattice="-0.862 -0.488 -2.794 -0.907 -2.700 -0.821 -7.821 0.787 0.701" Properties=species:S:1:pos:R:3 pbc="T T T"
Cl -5.685 0.240 0.138
Cl -3.905 -2.642 -3.052
Re 0.000 0.000 0.000
Co -4.795 -1.201 -1.457
```

Computed properties:
- Total moment: 1.60 Bohr magnetons per cell
- Volume: 14.661 Å³ per atom
- Symmetry: R-3m
- Energy relative to the elements, uncorrected: 1.57 eV/f.u.
- Energy above the lowest structure with this stoichiometry: 0.000 eV per atom